# 1
# Sm2ZnCd

An optimized crystal structure of Sm2ZnCd (PBE, OQMD).

a = 3.683 Å, b = 3.683 Å, c = 7.560 Å
α = 90.00°, β = 90.00°, γ = 90.00°
Element x y z (fractional)
Sm  0.000  0.000  0.231
Sm  0.000  0.000  0.769
Zn  0.500  0.500  0.000
Cd  0.500  0.500  0.500

Computed properties:
E_form: -0.33 eV/atom



# 2
# Li2WAu

An optimized crystal structure of Li2WAu (PBE, OQMD).

a = 6.210 Å, b = 6.210 Å, c = 6.210 Å
α = 90.00°, β = 90.00°, γ = 90.00°
Element x y z (fractional)
Li  0.000  0.000  0.000
Li  0.000  0.500  0.500
Li  0.250  0.250  0.250
Li  0.250  0.750  0.750
Li  0.500  0.000  0.500
Li  0.500  0.500  0.000
Li  0.750  0.250  0.750
Li  0.750  0.750  0.250
W  0.000  0.000  0.500
W  0.000  0.500  0.000
W  0.500  0.000  0.000
W  0.500  0.500  0.500
Au  0.250  0.250  0.750
Au  0.250  0.750  0.250
Au  0.750  0.250  0.250
Au  0.750  0.750  0.750

Computed properties:
electronic total energy: -72.72 eV/cell



# 3
# NdMg2Ga3Ge2Pt

An optimized crystal structure of NdMg2Ga3Ge2Pt (PBE, OQMD).

a = 4.201 Å, b = 6.941 Å, c = 6.941 Å
α = 121.05°, β = 90.00°, γ = 90.00°
Element x y z (fractional)
Nd  0.000  0.000  0.000
Mg  0.000  0.423  0.828
Mg  0.000  0.828  0.423
Ga  0.500  0.193  0.429
Ga  0.500  0.429  0.193
Ga  0.500  0.669  0.669
Ge  0.500  0.110  0.755
Ge  0.500  0.755  0.110
Pt  0.000  0.448  0.448

Computed properties:
electronic total energy: -37.13 eV/cell



# 4
# Li2Cd2Bi

An optimized crystal structure of Li2Cd2Bi (PBE, OQMD).

a = 4.142 Å, b = 4.142 Å, c = 12.177 Å
α = 90.00°, β = 90.00°, γ = 90.00°
Element x y z (fractional)
Li  0.000  0.000  0.097
Li  0.000  0.000  0.903
Li  0.500  0.500  0.403
Li  0.500  0.500  0.597
Cd  0.000  0.500  0.250
Cd  0.000  0.500  0.750
Cd  0.500  0.000  0.250
Cd  0.500  0.000  0.750
Bi  0.000  0.000  0.500
Bi  0.500  0.500  0.000

Computed properties:
electronic total energy: -20.20 eV/cell



# 5
# CuI2

An optimized crystal structure of CuI2 (PBE, OQMD).

a = 4.000 Å, b = 4.000 Å, c = 12.797 Å
α = 90.00°, β = 90.00°, γ = 90.00°
Element x y z (fractional)
Cu  0.250  0.750  0.250
Cu  0.750  0.250  0.750
I  0.250  0.250  0.125
I  0.250  0.250  0.625
I  0.750  0.750  0.375
I  0.750  0.750  0.875

Computed properties:
electronic total energy: -14.24 eV/cell



# 6
# Dy2Pa2O5

An optimized crystal structure of Dy2Pa2O5 (PBE, OQMD).

a = 4.359 Å, b = 4.359 Å, c = 7.461 Å
α = 90.00°, β = 90.00°, γ = 90.00°
Element x y z (fractional)
Dy  0.000  0.000  0.217
Dy  0.000  0.000  0.783
Pa  0.500  0.500  0.000
Pa  0.500  0.500  0.500
O  0.000  0.000  0.500
O  0.000  0.500  0.236
O  0.000  0.500  0.764
O  0.500  0.000  0.236
O  0.500  0.000  0.764

Computed properties:
electronic total energy: -71.32 eV/cell



# 7
# LiHfH4

An optimized crystal structure of LiHfH4 (PBE, OQMD).

a = 5.598 Å, b = 5.598 Å, c = 4.625 Å
α = 112.65°, β = 112.65°, γ = 111.07°
Element x y z (fractional)
Li  0.133  0.867  0.750
Li  0.867  0.133  0.250
Hf  0.373  0.627  0.250
Hf  0.627  0.373  0.750
H  0.012  0.486  0.754
H  0.249  0.292  0.328
H  0.292  0.249  0.828
H  0.486  0.012  0.254
H  0.514  0.988  0.746
H  0.708  0.751  0.172
H  0.751  0.708  0.672
H  0.988  0.514  0.246

Computed properties:
electronic total energy: -55.08 eV/cell



# 8
# NdPPbO

An optimized crystal structure of NdPPbO (PBE, OQMD).

a = 5.724 Å, b = 5.724 Å, c = 5.391 Å
α = 90.00°, β = 90.00°, γ = 90.00°
Element x y z (fractional)
Nd  0.250  0.750  0.000
Nd  0.750  0.250  0.000
P  0.250  0.250  0.003
P  0.750  0.750  0.997
Pb  0.250  0.250  0.503
Pb  0.750  0.750  0.497
O  0.250  0.750  0.500
O  0.750  0.250  0.500

Computed properties:
electronic total energy: -46.68 eV/cell



# 9
# KZrAgSe3

An optimized crystal structure of KZrAgSe3 (PBE, OQMD).

a = 7.870 Å, b = 4.356 Å, c = 17.168 Å
α = 90.00°, β = 90.00°, γ = 90.00°
Element x y z (fractional)
K  0.123  0.250  0.183
K  0.377  0.750  0.683
K  0.623  0.250  0.317
K  0.877  0.750  0.817
Zr  0.244  0.250  0.955
Zr  0.256  0.750  0.455
Zr  0.744  0.250  0.545
Zr  0.756  0.750  0.045
Ag  0.024  0.250  0.670
Ag  0.476  0.750  0.170
Ag  0.524  0.250  0.830
Ag  0.976  0.750  0.330
Se  0.004  0.250  0.426
Se  0.126  0.750  0.036
Se  0.187  0.250  0.805
Se  0.313  0.750  0.305
Se  0.374  0.250  0.536
Se  0.496  0.750  0.926
Se  0.504  0.250  0.074
Se  0.626  0.750  0.464
Se  0.687  0.250  0.695
Se  0.813  0.750  0.195
Se  0.874  0.250  0.964
Se  0.996  0.750  0.574

Computed properties:
electronic total energy: -114.66 eV/cell



# 10
# HfCuHgB

An optimized crystal structure of HfCuHgB (PBE, OQMD).

a = 6.297 Å, b = 6.297 Å, c = 6.297 Å
α = 90.00°, β = 90.00°, γ = 90.00°
Element x y z (fractional)
Hf  0.000  0.000  0.000
Hf  0.000  0.500  0.500
Hf  0.500  0.000  0.500
Hf  0.500  0.500  0.000
Cu  0.000  0.000  0.500
Cu  0.000  0.500  0.000
Cu  0.500  0.000  0.000
Cu  0.500  0.500  0.500
Hg  0.250  0.250  0.750
Hg  0.250  0.750  0.250
Hg  0.750  0.250  0.250
Hg  0.750  0.750  0.750
B  0.250  0.250  0.250
B  0.250  0.750  0.750
B  0.750  0.250  0.750
B  0.750  0.750  0.250

Computed properties:
electronic total energy: -73.97 eV/cell



# 11
# Cu14Te

An optimized crystal structure of Cu14Te (PBE, OQMD).

a = 4.389 Å, b = 6.710 Å, c = 26.513 Å
α = 90.02°, β = 90.00°, γ = 90.03°
Element x y z (fractional)
Cu  0.082  0.028  0.314
Cu  0.082  0.178  0.404
Cu  0.084  0.321  0.493
Cu  0.084  0.465  0.581
Cu  0.086  0.604  0.671
Cu  0.246  0.246  0.657
Cu  0.247  0.685  0.300
Cu  0.249  0.822  0.388
Cu  0.249  0.964  0.477
Cu  0.252  0.106  0.567
Cu  0.413  0.899  0.641
Cu  0.416  0.607  0.463
Cu  0.417  0.750  0.552
Cu  0.418  0.468  0.375
Cu  0.582  0.532  0.625
Cu  0.583  0.250  0.448
Cu  0.584  0.393  0.537
Cu  0.587  0.101  0.359
Cu  0.748  0.894  0.433
Cu  0.751  0.036  0.523
Cu  0.751  0.178  0.612
Cu  0.753  0.315  0.700
Cu  0.754  0.754  0.343
Cu  0.914  0.396  0.329
Cu  0.916  0.535  0.419
Cu  0.916  0.679  0.507
Cu  0.918  0.822  0.596
Cu  0.918  0.972  0.686
Te  0.419  0.320  0.276
Te  0.581  0.680  0.724

Computed properties:
electronic total energy: -107.80 eV/cell



# 12
# ZnFeTcMo

An optimized crystal structure of ZnFeTcMo (PBE, OQMD).

a = 6.036 Å, b = 6.036 Å, c = 6.036 Å
α = 90.00°, β = 90.00°, γ = 90.00°
Element x y z (fractional)
Zn  0.000  0.000  0.000
Zn  0.000  0.500  0.500
Zn  0.500  0.000  0.500
Zn  0.500  0.500  0.000
Fe  0.250  0.250  0.250
Fe  0.250  0.750  0.750
Fe  0.750  0.250  0.750
Fe  0.750  0.750  0.250
Tc  0.250  0.250  0.750
Tc  0.250  0.750  0.250
Tc  0.750  0.250  0.250
Tc  0.750  0.750  0.750
Mo  0.000  0.000  0.500
Mo  0.000  0.500  0.000
Mo  0.500  0.000  0.000
Mo  0.500  0.500  0.500

Computed properties:
E_form: 0.12 eV/atom



Question: What is the formula in the sixth record?
Answer: Dy2Pa2O5